(1)
K4Hg3Au2 | PBE | optimized geometry

Unit cell a=17.9434 b=4.8065 c=7.5594 alpha=90.00 beta=106.32 gamma=90.00
Space group C2/m (No. 12)
One atom of each set of equivalent atoms:
K  0.0685  0.0000  0.3542
K  0.2265  0.5000  0.1952
Hg  0.0000  0.5000  0.0000
Hg  0.1109  0.5000  0.7157
Au  0.1069  0.0000  0.9399

Computed properties:
* ΔH_f (0 K): -257 meV per atom
* total magnetization: 0.000 μB per atom
* energy: -1.57 eV per atom



(2)
Ho4Te2AsPb | PBE | optimized geometry

Unit cell a=7.4682 b=4.2996 c=7.4954 alpha=90.00 beta=109.24 gamma=90.00
Space group P2/m (No. 10)
One atom of each set of equivalent atoms:
Ho  0.2329  0.0000  0.2250
Ho  0.2462  0.5000  0.7669
Te  0.0000  0.0000  0.5000
Te  0.5000  0.5000  0.5000
As  0.0000  0.5000  0.0000
Pb  0.5000  0.0000  0.0000

Computed properties:
* formation energy without anion corrections: -1178 meV per atom
* total magnetization: 0.000 μB per atom
* energy: -5.30 eV per atom



(3)
TiMn2CoH | PBE | optimized geometry

Unit cell a=3.8428 b=3.8428 c=3.4955 alpha=90.00 beta=90.00 gamma=90.00
Space group P4/mmm (No. 123)
One atom of each set of equivalent atoms:
Ti  0.0000  0.0000  0.0000
Mn  0.0000  0.5000  0.5000
Co  0.5000  0.5000  0.0000
H  0.5000  0.5000  0.5000

Computed properties:
* total magnetization: 0.867 μB per atom
* energy: -7.44 eV per atom



(4)
HfTi2Cl6 | PBE | optimized geometry

Unit cell a=13.0950 b=11.1542 c=6.0668 alpha=90.00 beta=117.56 gamma=90.00
Space group C2/c (No. 15)
One atom of each set of equivalent atoms:
Hf  0.0000  0.0736  0.2500
Ti  0.2470  0.0749  0.5049
Cl  0.1240  0.1063  0.0252
Cl  0.1279  0.2485  0.5283
Cl  0.1354  0.4230  0.0518

Computed properties:
* formation energy without anion corrections: -1258 meV per atom
* total magnetization: 0.289 μB per atom
* energy: -5.35 eV per atom



(5)
BaZr2Fe | PBE | optimized geometry

Unit cell a=3.4677 b=3.4677 c=8.6475 alpha=90.00 beta=90.00 gamma=90.00
Space group P4mm (No. 99)
One atom of each set of equivalent atoms:
Ba  0.0000  0.0000  0.0000
Zr  0.0000  0.0000  0.4170
Zr  0.5000  0.5000  0.6373
Fe  0.5000  0.5000  0.2844

Computed properties:
* polymorph energy (0 for the lowest one): 81 meV per atom
* ΔH_f (0 K): 334 meV per atom
* total magnetization: 0.581 μB per atom
* energy: -6.54 eV per atom



(6)
BaIn6Au4 | PBE | optimized geometry

Unit cell a=8.2500 b=8.2500 c=4.5467 alpha=90.00 beta=90.00 gamma=120.00
Space group P-6m2 (No. 187)
One atom of each set of equivalent atoms:
Ba  0.0000  0.0000  0.0000
In  0.2000  0.3999  0.5000
In  0.5358  0.0717  0.0000
Au  0.3333  0.6667  0.0000
Au  0.4021  0.2011  0.5000

Computed properties:
* ΔH_f (0 K): -374 meV per atom
* total magnetization: 0.000 μB per atom
* energy: -3.23 eV per atom



(7)
Mn2HIrPd | PBE | optimized geometry

Unit cell a=4.5922 b=4.5922 c=3.1653 alpha=90.00 beta=90.00 gamma=90.00
Space group P4/mmm (No. 123)
One atom of each set of equivalent atoms:
Mn  0.0000  0.5000  0.0000
H  0.0000  0.0000  0.5000
Ir  0.0000  0.0000  0.0000
Pd  0.5000  0.5000  0.5000

Computed properties:
* polymorph energy (0 for the lowest one): 988 meV per atom
* total magnetization: 0.001 μB per atom
* energy: -6.16 eV per atom



(8)
NdDyEr4 | PBE | optimized geometry

Unit cell a=3.5431 b=5.0002 c=10.6171 alpha=90.00 beta=90.30 gamma=90.00
Space group P2/m (No. 10)
One atom of each set of equivalent atoms:
Nd  0.0000  0.0000  0.0000
Dy  0.5000  0.5000  0.5000
Er  0.9997  0.0000  0.3349
Er  0.5000  0.5000  0.1699

Computed properties:
* polymorph energy (0 for the lowest one): 0 meV per atom
* ΔH_f (0 K): 20 meV per atom
* total magnetization: 0.000 μB per atom
* energy: -4.58 eV per atom



(9)
Cs2CrPbI6 | PBE | optimized geometry

Unit cell a=12.1314 b=12.1314 c=12.1314 alpha=90.00 beta=90.00 gamma=90.00
Space group Fm-3m (No. 225)
One atom of each set of equivalent atoms:
Cs  0.2500  0.2500  0.2500
Cr  0.0000  0.0000  0.0000
Pb  0.0000  0.0000  0.5000
I  0.0000  0.0000  0.2359

Computed properties:
* formation energy without anion corrections: -882 meV per atom
* total magnetization: 0.400 μB per atom
* energy: -3.32 eV per atom



(10)
BaAc4Se5 | PBE | optimized geometry

Unit cell a=4.5050 b=6.3664 c=22.5619 alpha=90.00 beta=90.00 gamma=90.00
Space group Immm (No. 71)
One atom of each set of equivalent atoms:
Ba  0.0000  0.0000  0.0000
Ac  0.0000  0.0000  0.2030
Ac  0.0000  0.0000  0.3991
Se  0.0000  0.5000  0.0000
Se  0.0000  0.5000  0.1988
Se  0.0000  0.5000  0.3952

Computed properties:
* formation energy without anion corrections: -1892 meV per atom
* total magnetization: 0.000 μB per atom
* energy: -5.47 eV per atom



(11)
CaCePr2Bi4 | PBE | optimized geometry

Unit cell a=7.9772 b=4.6282 c=8.0141 alpha=90.00 beta=109.33 gamma=90.00
Space group P2/m (No. 10)
One atom of each set of equivalent atoms:
Ca  0.0000  0.0000  0.0000
Ce  0.5000  0.5000  0.0000
Pr  0.0000  0.5000  0.5000
Pr  0.5000  0.0000  0.5000
Bi  0.2529  0.5000  0.2456
Bi  0.2548  0.0000  0.7558

Computed properties:
* ΔH_f (0 K): -854 meV per atom
* total magnetization: 0.038 μB per atom
* energy: -4.98 eV per atom



(12)
Np2BiAu | PBE | optimized geometry

Unit cell a=3.2962 b=3.2962 c=9.3013 alpha=90.00 beta=90.00 gamma=90.00
Space group P4/mmm (No. 123)
One atom of each set of equivalent atoms:
Np  0.0000  0.0000  0.2246
Bi  0.5000  0.5000  0.5000
Au  0.5000  0.5000  0.0000

Computed properties:
* polymorph energy (0 for the lowest one): 44 meV per atom
* ΔH_f (0 K): 91 meV per atom
* total magnetization: 2.344 μB per atom
* energy: -8.17 eV per atom



(13)
KMg3 | PBE | optimized geometry

Unit cell a=5.8991 b=11.4575 c=7.2753 alpha=90.00 beta=90.00 gamma=90.00
Space group Pnma (No. 62)
One atom of each set of equivalent atoms:
K  0.0638  0.2500  0.1247
Mg  0.0834  0.2500  0.6519
Mg  0.2004  0.5169  0.3566

Computed properties:
* ΔH_f (0 K): 221 meV per atom
* total magnetization: 0.000 μB per atom
* energy: -1.25 eV per atom



(14)
Pm8Tm3 | PBE | optimized geometry

Unit cell a=9.7485 b=9.7485 c=13.7821 alpha=90.00 beta=90.00 gamma=120.00
Space group R-3 (No. 148, hexagonal axes)
One atom of each set of equivalent atoms:
Pm  0.0000  0.0000  0.1108
Pm  0.0372  0.8062  0.6140
Tm  0.0000  0.5000  0.5000

Computed properties:
* polymorph energy (0 for the lowest one): 316 meV per atom
* ΔH_f (0 K): 472 meV per atom
* total magnetization: 0.000 μB per atom
* energy: -4.20 eV per atom



(15)
Pa2IrRu | PBE | optimized geometry

Unit cell a=3.4417 b=3.4417 c=6.8674 alpha=90.00 beta=90.00 gamma=90.00
Space group P4/mmm (No. 123)
One atom of each set of equivalent atoms:
Pa  0.0000  0.0000  0.2462
Ir  0.5000  0.5000  0.5000
Ru  0.5000  0.5000  0.0000

Computed properties:
* polymorph energy (0 for the lowest one): 193 meV per atom
* ΔH_f (0 K): -486 meV per atom
* total magnetization: 0.000 μB per atom
* energy: -9.77 eV per atom



(16)
KNiRhSe2 | PBE | optimized geometry

Unit cell a=12.4721 b=3.9982 c=10.1211 alpha=90.00 beta=118.70 gamma=90.00
Space group C2/m (No. 12)
One atom of each set of equivalent atoms:
K  0.1727  0.0000  0.1333
Ni  0.0072  0.0000  0.6838
Rh  0.1596  0.5000  0.4406
Se  0.0418  0.5000  0.8227
Se  0.1435  0.0000  0.5694

Computed properties:
* formation energy without anion corrections: -503 meV per atom
* total magnetization: 0.000 μB per atom
* energy: -4.74 eV per atom



(17)
PrPa2Se4 | PBE | optimized geometry

Unit cell a=4.0028 b=13.2610 c=14.2711 alpha=90.00 beta=90.00 gamma=90.00
Space group Cmcm (No. 63)
One atom of each set of equivalent atoms:
Pr  0.0000  0.1098  0.2500
Pa  0.0000  0.3581  0.0611
Se  0.0000  0.0000  0.0000
Se  0.0000  0.2810  0.6291
Se  0.0000  0.4406  0.2500

Computed properties:
* formation energy without anion corrections: -1406 meV per atom
* total magnetization: 0.444 μB per atom
* energy: -6.79 eV per atom



(18)
SnGeP2O | PBE | optimized geometry

Unit cell a=4.9055 b=4.9055 c=3.6837 alpha=90.00 beta=90.00 gamma=90.00
Space group P4/mmm (No. 123)
One atom of each set of equivalent atoms:
Sn  0.0000  0.0000  0.0000
Ge  0.5000  0.5000  0.5000
P  0.0000  0.5000  0.5000
O  0.5000  0.5000  0.0000

Computed properties:
* formation energy without anion corrections: 113 meV per atom
* polymorph energy (0 for the lowest one): 0 meV per atom
* total magnetization: 0.000 μB per atom
* energy: -4.77 eV per atom



(19)
TaReAg2 | PBE | optimized geometry

Unit cell a=2.7611 b=2.7611 c=8.9115 alpha=90.00 beta=90.00 gamma=90.00
Space group P4mm (No. 99)
One atom of each set of equivalent atoms:
Ta  0.0000  0.0000  0.0000
Re  0.5000  0.5000  0.7572
Ag  0.0000  0.0000  0.5107
Ag  0.5000  0.5000  0.2556

Computed properties:
* polymorph energy (0 for the lowest one): 140 meV per atom
* ΔH_f (0 K): 363 meV per atom
* total magnetization: 0.000 μB per atom
* energy: -7.14 eV per atom



(20)
TiNbS6 | PBE | optimized geometry

Unit cell a=5.9771 b=6.0978 c=6.1027 alpha=71.33 beta=61.16 gamma=61.15
Space group P-1 (No. 2)
One atom of each set of equivalent atoms:
Ti  0.0000  0.0000  0.0000
Nb  0.5000  0.5000  0.5000
S  0.1279  0.3714  0.8649
S  0.1371  0.8742  0.3625
S  0.4470  0.7558  0.7562

Computed properties:
* formation energy without anion corrections: -631 meV per atom
* total magnetization: 0.000 μB per atom
* energy: -5.97 eV per atom



(21)
Pr4NiPb2 | PBE | optimized geometry

Unit cell a=6.6824 b=6.9361 c=9.6749 alpha=90.00 beta=103.68 gamma=90.00
Space group P2_1/m (No. 11)
One atom of each set of equivalent atoms:
Pr  0.1858  0.2500  0.1014
Pr  0.2738  0.7500  0.3924
Pr  0.2902  0.0016  0.7576
Ni  0.4610  0.2500  0.3556
Pb  0.1226  0.2500  0.4456
Pb  0.3095  0.7500  0.0563

Computed properties:
* polymorph energy (0 for the lowest one): 0 meV per atom
* ΔH_f (0 K): -374 meV per atom
* total magnetization: 0.000 μB per atom
* energy: -4.99 eV per atom



(22)
TmCrGa6 | PBE | optimized geometry

Unit cell a=9.2071 b=9.2071 c=6.3641 alpha=90.00 beta=90.00 gamma=120.00
Space group R-3m (No. 166, hexagonal axes)
One atom of each set of equivalent atoms:
Tm  0.0000  0.0000  0.0000
Cr  0.0000  0.0000  0.5000
Ga  0.0443  0.5222  0.3033

Computed properties:
* ΔH_f (0 K): -83 meV per atom
* total magnetization: 0.241 μB per atom
* energy: -4.11 eV per atom



(23)
SrAg2AuO4 | PBE | optimized geometry

Unit cell a=5.9207 b=5.9350 c=7.0253 alpha=90.00 beta=90.00 gamma=90.00
Space group I222 (No. 23)
One atom of each set of equivalent atoms:
Sr  0.0000  0.0000  0.0000
Ag  0.0000  0.5000  0.2494
Au  0.0000  0.0000  0.5000
O  0.1938  0.1943  0.2780

Computed properties:
* formation energy without anion corrections: -594 meV per atom
* total magnetization: 0.000 μB per atom
* energy: -4.41 eV per atom



(24)
KCd3 | PBE | optimized geometry

Unit cell a=6.0422 b=4.8526 c=8.2950 alpha=90.00 beta=90.00 gamma=90.00
Space group Pmma (No. 51)
One atom of each set of equivalent atoms:
K  0.2500  0.0000  0.1673
Cd  0.0000  0.5000  0.5000
Cd  0.2500  0.0000  0.6106
Cd  0.2500  0.5000  0.8495

Computed properties:
* ΔH_f (0 K): -56 meV per atom
* total magnetization: 0.000 μB per atom
* energy: -1.02 eV per atom